(one)
Below is crystalline CrWAu2 at its relaxed geometry, with properties calculated at the GGA-PBEsol level.

Cell lengths 3.7994, 3.7994, 8.4295 Å; angles 90.00, 90.00, 90.00 degrees
Closest atoms and distances in Å follow each position.
Space group I4/mmm (No. 139)
Inequivalent atoms, fractional coordinates:
Cr1 0.0000 0.0000 0.0000 [2 per cell]  4 W 2.69, 8 Au 2.84
W1 0.0000 0.0000 0.5000 [2 per cell]  4 Cr 2.69, 8 Au 2.84
Au1 0.0000 0.5000 0.2500 [4 per cell]  4 Au 2.69, 4 Cr 2.84, 4 W 2.84

***

(two)
Below is crystalline CrWAu2 at its relaxed geometry, with properties calculated at the GGA-PBEsol level.

Cell lengths 3.9589, 3.9589, 7.7366 Å; angles 90.00, 90.00, 90.00 degrees
Closest atoms and distances in Å follow each position.
Space group I-4m2 (No. 119)
Inequivalent atoms, fractional coordinates:
Cr1 0.0000 0.0000 0.0000 [2 per cell]  4 W 2.77, 8 Au 2.77-2.80
W1 0.0000 0.5000 0.2500 [2 per cell]  4 Cr 2.77, 8 Au 2.77-2.80
Au1 0.0000 0.0000 0.5000 [2 per cell]  4 W 2.77, 4 Au 2.77, 4 Cr 2.80
Au2 0.0000 0.5000 0.7500 [2 per cell]  4 Cr 2.77, 4 Au 2.77, 4 W 2.80

***

Need the numbers? Relative energies in kJ/mol of atoms: (one) 0.0; (two) 0.6.

***

(one)
Below is crystalline Y2CrAu at its relaxed geometry, with properties calculated at the GGA-PBEsol level.

Cell lengths 3.6481, 3.6481, 6.9289 Å; angles 90.00, 90.00, 90.00 degrees
Closest atoms and distances in Å follow each position.
Space group P4mm (No. 99)
Inequivalent atoms, fractional coordinates:
Y1 0.0000 0.0000 0.0000 [1 per cell]  1 Au 2.99, 4 Cr 3.00
Y2 0.5000 0.5000 0.3530 [1 per cell]  1 Cr 2.94, 4 Au 2.98
Cr1 0.5000 0.5000 0.7779 [1 per cell]  5 Y 2.94-3.00, 4 Au 2.96
Au1 0.0000 0.0000 0.5682 [1 per cell]  4 Cr 2.96, 5 Y 2.98-2.99

***

(two)
Below is crystalline Y2CrAu at its relaxed geometry, with properties calculated at the GGA-PBEsol level.

Cell lengths 4.5857, 3.6674, 10.7631 Å; angles 90.00, 90.00, 90.00 degrees
Closest atoms and distances in Å follow each position.
Space group Amm2 (No. 38)
Inequivalent atoms, fractional coordinates:
Y1 0.0000 0.0000 0.0000 [2 per cell]  3 Au 2.99-3.02, 4 Cr 3.04
Y2 0.5000 0.0000 0.2962 [2 per cell]  3 Cr 3.00-3.01, 4 Au 3.05
Cr1 0.5000 0.0000 0.5748 [2 per cell]  2 Au 2.77, 7 Y 3.00-3.04
Au1 0.0000 0.0000 0.7198 [2 per cell]  2 Cr 2.77, 7 Y 2.99-3.05

***

Need the numbers? Relative energies in kJ/mol of atoms: (one) 15.6; (two) 0.0.

***

(one)
Below is crystalline CsH2Au at its relaxed geometry, with properties calculated at the GGA-PBEsol level.

Cell lengths 6.7213, 6.7213, 6.7213 Å; angles 90.00, 90.00, 90.00 degrees
Closest atoms and distances in Å follow each position.
Space group Fm-3m (No. 225)
Inequivalent atoms, fractional coordinates:
Cs1 0.0000 0.0000 0.0000 [4 per cell]  8 H 2.91
H1 0.2500 0.2500 0.2500 [8 per cell]  4 Cs 2.91, 4 Au 2.91
Au1 0.0000 0.0000 0.5000 [4 per cell]  8 H 2.91

***

(two)
Below is crystalline CsH2Au at its relaxed geometry, with properties calculated at the GGA-PBEsol level.

Cell lengths 8.3484, 8.3484, 8.3484 Å; angles 90.00, 90.00, 90.00 degrees
Closest atoms and distances in Å follow each position.
Space group Fd-3m (No. 227, origin choice 2)
Inequivalent atoms, fractional coordinates:
Cs1 0.1250 0.1250 0.1250 [8 per cell]  12 H 3.46, 4 Au 3.61, 4 Cs 3.61
H1 0.0000 0.0000 0.5000 [16 per cell]  2 Au 1.81
Au1 0.1250 0.1250 0.6250 [8 per cell]  4 H 1.81

***

Need the numbers? Relative energies in kJ/mol of atoms: (one) 98.6; (two) 0.0.

***

(one)
Below is crystalline Cs2HgAu2 at its relaxed geometry, with properties calculated at the GGA-PBEsol level.

Cell lengths 6.4237, 6.4237, 11.6927 Å; angles 90.00, 90.00, 90.00 degrees
Closest atoms and distances in Å follow each position.
Space group I4/mmm (No. 139)
Inequivalent atoms, fractional coordinates:
Cs1 0.0000 0.0000 0.1668 [4 per cell]  4 Au 3.36
Hg1 0.0000 0.0000 0.5000 [2 per cell]  2 Cs 3.90, 8 Au 4.34
Au1 0.0000 0.5000 0.2500 [4 per cell]  4 Cs 3.36

***

(two)
Below is crystalline Cs2HgAu2 at its relaxed geometry, with properties calculated at the GGA-PBEsol level.

Cell lengths 6.7840, 6.7840, 8.0539 Å; angles 90.00, 90.00, 90.00 degrees
Closest atoms and distances in Å follow each position.
Space group I4/mmm (No. 139)
Inequivalent atoms, fractional coordinates:
Cs1 0.0000 0.5000 0.2500 [4 per cell]  4 Au 3.46
Hg1 0.0000 0.0000 0.0000 [2 per cell]  2 Au 2.71
Au1 0.0000 0.0000 0.3369 [4 per cell]  1 Au 2.63, 1 Hg 2.71

***

(three)
Below is crystalline Cs2HgAu2 at its relaxed geometry, with properties calculated at the GGA-PBEsol level.

Cell lengths 9.6763, 9.6763, 4.0938 Å; angles 90.00, 90.00, 90.00 degrees
Closest atoms and distances in Å follow each position.
Space group P4/mbm (No. 127)
Inequivalent atoms, fractional coordinates:
Cs1 0.1461 0.3539 0.0000 [4 per cell]  6 Au 3.46-3.52, 2 Hg 3.71
Hg1 0.0000 0.0000 0.0000 [2 per cell]  4 Cs 3.71, 2 Hg 4.09
Au1 0.1502 0.6502 0.5000 [4 per cell]  6 Cs 3.46-3.52

***

Need the numbers? Relative energies in kJ/mol of atoms: (one) 26.6; (two) 0.0; (three) 14.2.

***

(one)
Below is crystalline CsHg2Au at its relaxed geometry, with properties calculated at the GGA-PBEsol level.

Cell lengths 7.7957, 7.7957, 7.7957 Å; angles 90.00, 90.00, 90.00 degrees
Closest atoms and distances in Å follow each position.
Space group Fm-3m (No. 225)
Inequivalent atoms, fractional coordinates:
Cs1 0.0000 0.0000 0.0000 [4 per cell]  8 Hg 3.38
Hg1 0.2500 0.2500 0.2500 [8 per cell]  4 Cs 3.38, 4 Au 3.38
Au1 0.0000 0.0000 0.5000 [4 per cell]  8 Hg 3.38

***

(two)
Below is crystalline CsHg2Au at its relaxed geometry, with properties calculated at the GGA-PBEsol level.

Cell lengths 5.7759, 5.7759, 18.4597 Å; angles 90.00, 90.00, 90.00 degrees
Closest atoms and distances in Å follow each position.
Space group I-42d (No. 122)
Inequivalent atoms, fractional coordinates:
Cs1 0.0000 0.0000 0.0000 [4 per cell]  8 Hg 3.78-4.16, 4 Au 4.08
Hg1 0.0450 0.2500 0.6250 [8 per cell]  2 Au 2.73, 2 Hg 2.93
Au1 0.0000 0.0000 0.5000 [4 per cell]  4 Hg 2.73

***

Need the numbers? Relative energies in kJ/mol of atoms: (one) 8.4; (two) 0.0.

***

(one)
Below is crystalline CsRb2Au2 at its relaxed geometry, with properties calculated at the GGA-PBEsol level.

Cell lengths 9.7021, 9.7021, 3.9840 Å; angles 90.00, 90.00, 90.00 degrees
Closest atoms and distances in Å follow each position.
Space group P4/mbm (No. 127)
Inequivalent atoms, fractional coordinates:
Cs1 0.0000 0.0000 0.0000 [2 per cell]  4 Rb 3.82, 2 Cs 3.98, 8 Au 4.12
Rb1 0.1282 0.3718 0.0000 [4 per cell]  6 Au 3.42-3.53, 1 Rb 3.52, 2 Cs 3.82
Au1 0.1696 0.6696 0.5000 [4 per cell]  6 Rb 3.42-3.53

***

(two)
Below is crystalline CsRb2Au2 at its relaxed geometry, with properties calculated at the GGA-PBEsol level.

Cell lengths 5.3023, 5.3023, 14.3206 Å; angles 90.00, 90.00, 90.00 degrees
Closest atoms and distances in Å follow each position.
Space group I4/mmm (No. 139)
Inequivalent atoms, fractional coordinates:
Cs1 0.0000 0.0000 0.0000 [2 per cell]  8 Au 3.99, 8 Rb 4.45
Rb1 0.0000 0.5000 0.2500 [4 per cell]  4 Au 3.46, 4 Rb 3.75
Au1 0.0000 0.0000 0.4050 [4 per cell]  1 Au 2.72

***

Need the numbers? Relative energies in kJ/mol of atoms: (one) 2.2; (two) 0.0.

***

(one)
Below is crystalline Cu4Au at its relaxed geometry, with properties calculated at the GGA-PBEsol level.

Cell lengths 2.7159, 2.7159, 16.9387 Å; angles 90.00, 90.00, 90.00 degrees
Closest atoms and distances in Å follow each position.
Space group I4/mmm (No. 139)
Inequivalent atoms, fractional coordinates:
Cu1 0.0000 0.0000 0.1119 [4 per cell]  8 Cu 2.48-2.72, 4 Au 2.70
Cu2 0.0000 0.0000 0.2956 [4 per cell]  12 Cu 2.46-2.72
Au1 0.0000 0.0000 0.5000 [2 per cell]  8 Cu 2.70, 4 Au 2.72

***

(two)
Below is crystalline Cu4Au at its relaxed geometry, with properties calculated at the GGA-PBEsol level.

Cell lengths 2.6628, 2.6628, 31.1594 Å; angles 90.00, 90.00, 120.00 degrees
Closest atoms and distances in Å follow each position.
Space group R-3m (No. 166, hexagonal axes)
Inequivalent atoms, fractional coordinates:
Cu1 0.0000 0.0000 0.0944 [6 per cell]  9 Cu 2.49-2.66, 3 Au 2.73
Cu2 0.0000 0.0000 0.3017 [6 per cell]  12 Cu 2.49-2.66
Au1 0.0000 0.0000 0.5000 [3 per cell]  6 Au 2.66, 6 Cu 2.73

***

(three)
Below is crystalline Cu4Au at its relaxed geometry, with properties calculated at the GGA-PBEsol level.

Cell lengths 8.6044, 2.6556, 6.3843 Å; angles 90.00, 120.71, 90.00 degrees
Closest atoms and distances in Å follow each position.
Space group C2/m (No. 12)
Inequivalent atoms, fractional coordinates:
Cu1 0.1044 0.0000 0.4129 [4 per cell]  10 Cu 2.49-2.66, 2 Au 2.66
Cu2 0.1908 0.5000 0.7872 [4 per cell]  9 Cu 2.49-2.71, 3 Au 2.61-2.64
Au1 0.0000 0.5000 0.0000 [2 per cell]  10 Cu 2.61-2.66, 2 Au 2.66

***

(four)
Below is crystalline Cu4Au at its relaxed geometry, with properties calculated at the GGA-PBEsol level.

Cell lengths 2.6578, 3.5321, 13.3216 Å; angles 90.00, 90.00, 90.00 degrees
Closest atoms and distances in Å follow each position.
Space group Immm (No. 71)
Inequivalent atoms, fractional coordinates:
Cu1 0.0000 0.0000 0.1109 [4 per cell]  7 Cu 2.48-2.66, 4 Au 2.66
Cu2 0.0000 0.0000 0.2970 [4 per cell]  11 Cu 2.48-2.66, 1 Au 2.70
Au1 0.0000 0.0000 0.5000 [2 per cell]  2 Au 2.66, 10 Cu 2.66-2.70

***

Need the numbers? Relative energies in kJ/mol of atoms: (one) 1.5; (two) 7.4; (three) 0.9; (four) 0.0.

***

(one)
Below is crystalline Cu4Au5 at its relaxed geometry, with properties calculated at the GGA-PBEsol level.

Cell lengths 7.5927, 7.5927, 5.3114 Å; angles 90.00, 90.00, 120.00 degrees
Closest atoms and distances in Å follow each position.
Space group P6_3/mcm (No. 193)
Inequivalent atoms, fractional coordinates:
Cu1 0.0000 0.0000 0.0000 [2 per cell]  2 Cu 2.66, 6 Au 2.67
Cu2 0.0000 0.3537 0.2500 [6 per cell]  9 Au 2.52-2.79
Au1 0.0000 0.3058 0.7500 [6 per cell]  7 Cu 2.52-2.68
Au2 0.3333 0.6667 0.0000 [4 per cell]  8 Au 2.66-2.96, 6 Cu 2.79

***

(two)
Below is crystalline Cu4Au5 at its relaxed geometry, with properties calculated at the GGA-PBEsol level.

Cell lengths 8.1793, 8.1793, 3.9384 Å; angles 90.00, 90.00, 90.00 degrees
Closest atoms and distances in Å follow each position.
Space group I4/mmm (No. 139)
Inequivalent atoms, fractional coordinates:
Cu1 0.0000 0.3468 0.0000 [8 per cell]  5 Cu 2.51-2.65, 2 Au 2.70
Au1 0.0000 0.0000 0.0000 [2 per cell]  8 Au 2.79, 4 Cu 2.84
Au2 0.1709 0.1709 0.5000 [8 per cell]  6 Au 2.69-2.79, 6 Cu 2.70-2.81

***

Need the numbers? Relative energies in kJ/mol of atoms: (one) 2.1; (two) 0.0.